# Li4ReN4 | the Alexandria database | GGA-PBE | optimized geometry
data_Li4ReN4
_chemical_formula_sum 'Li16 Re4 N16'
_cell_length_a 8.271
_cell_length_b 8.015
_cell_length_c 6.187
_cell_angle_alpha 90.00
_cell_angle_beta 90.00
_cell_angle_gamma 90.00
_symmetry_space_group_name_H-M 'C m c m'
_symmetry_Int_Tables_number 63
_symmetry_space_group_name_Hall '-C 2c 2'
loop_
_atom_site_label
_atom_site_fract_x
_atom_site_fract_y
_atom_site_fract_z
Li1 0.147 0.220 0.250
Li2 0.155 0.500 0.000
Re1 0.000 0.170 0.750
N1 0.000 0.299 0.508
N2 0.187 0.045 0.750
# - D(E_F) (states/eV per atom) = 0.369
# - crystal system = orthorhombic
# - volume (Å³ per cell) = 410.1
# - raw formation energy (kcal/mol of atoms) = -9.359

---

# CaInCo | the Alexandria database | GGA-PBE | optimized geometry
data_CaInCo
_chemical_formula_sum 'Ca1 In1 Co1'
_cell_length_a 4.4984
_cell_length_b 4.4984
_cell_length_c 3.8970
_cell_angle_alpha 90.00
_cell_angle_beta 90.00
_cell_angle_gamma 120.00
_symmetry_space_group_name_H-M 'P -6 m 2'
_symmetry_Int_Tables_number 187
_symmetry_space_group_name_Hall 'P -6 2'
loop_
_atom_site_label
_atom_site_fract_x
_atom_site_fract_y
_atom_site_fract_z
Ca1 0.0000 0.0000 0.0000
In1 0.3333 0.6667 0.5000
Co1 0.6667 0.3333 0.5000
# - D(E_F) (states/eV per atom) = 1.283
# - crystal system = hexagonal
# - volume (Å³ per cell) = 68.3
# - formation energy from the elements (eV per atom) = 0.056

---

# AlInBi | the Alexandria database | GGA-PBE | optimized geometry
data_AlInBi
_chemical_formula_sum 'Al2 In2 Bi2'
_cell_length_a 3.355
_cell_length_b 5.889
_cell_length_c 8.609
_cell_angle_alpha 74.99
_cell_angle_beta 79.24
_cell_angle_gamma 89.96
_symmetry_space_group_name_H-M 'P -1'
_symmetry_Int_Tables_number 2
_symmetry_space_group_name_Hall '-P 1'
loop_
_atom_site_label
_atom_site_fract_x
_atom_site_fract_y
_atom_site_fract_z
Al1 0.250 0.188 0.499
In1 0.077 0.810 0.854
Bi1 0.370 0.646 0.247
# - energy above the most stable polymorph in this dataset (eV per atom) = 0.003
# - D(E_F) (states/eV per atom) = 0.293
# - crystal system = triclinic
# - volume (Å³ per cell) = 161.2
# - formation energy from the elements (eV per atom) = 0.114

---

no.,total energy (eV/atom)
1,-6.3397
2,-3.8923
3,-3.3404